A plane-wave DFT calculation with GGA-PBE was carried out for a geometry-optimized Ac2TbPr4 structure.

Lattice parameters (Å, degrees): 5.7926 5.7926 18.2441 90.00 90.00 90.00
Closest atoms and distances in Å follow each position.
Space group I4/mmm (No. 139)
Inequivalent atoms, fractional coordinates:
Ac1 0.0000 0.0000 0.1863  1 Tb 3.40, 1 Pr 3.73
Tb1 0.0000 0.0000 0.0000  4 Pr 2.90
Pr1 0.0000 0.0000 0.3906  4 Pr 3.52, 1 Ac 3.73
Pr2 0.0000 0.5000 0.0000  2 Tb 2.90

- excess energy over the best structure of this formula in the dataset (eV/atom) = 0.494
- electronic total energy (eV/atom) = -4.042

---

A plane-wave DFT calculation with GGA-PBE was carried out for a geometry-optimized Ac2Tb3Pr5 structure.

Lattice parameters (Å, degrees): 11.0493 14.8082 10.6358 90.00 121.29 90.00
Closest atoms and distances in Å follow each position.
Space group C2/c (No. 15)
Inequivalent atoms, fractional coordinates:
Ac1 0.1532 0.1271 0.0528  3 Tb 3.50-3.58, 6 Pr 3.56-3.89
Tb1 0.0000 0.2757 0.7500  3 Pr 3.19-3.52, 2 Ac 3.52, 2 Tb 3.54
Tb2 0.1534 0.3739 0.5619  5 Pr 3.45-3.69, 1 Ac 3.50, 1 Tb 3.54
Pr1 0.0000 0.0259 0.2500  3 Pr 3.19-3.55, 2 Ac 3.56
Pr2 0.0000 0.2414 0.2500  3 Pr 3.19-3.40, 2 Tb 3.45
Pr3 0.0000 0.4911 0.7500  3 Tb 3.19-3.47, 2 Pr 3.44
Pr4 0.2456 0.1267 0.7459  3 Pr 3.40-3.55, 1 Tb 3.52

- electronic total energy (eV/atom) = -4.405

---

A plane-wave DFT calculation with GGA-PBE was carried out for a geometry-optimized Ac8Tb6Pr structure.

Lattice parameters (Å, degrees): 10.0134 10.0134 7.1741 90.00 90.00 120.00
Closest atoms and distances in Å follow each position.
Space group P-3 (No. 147)
Inequivalent atoms, fractional coordinates:
Ac1 0.0546 0.6925 0.1153  4 Tb 3.45-3.80, 3 Ac 3.77-3.82
Ac2 0.3333 0.6667 0.7152  6 Tb 3.61-3.77, 3 Ac 3.94
Tb1 0.0314 0.3633 0.4026  3 Tb 3.40-3.76, 6 Ac 3.45-3.80, 1 Pr 3.56
Pr1 0.0000 0.0000 0.5000  6 Tb 3.56

- electronic total energy (eV/atom) = -4.123

---

A plane-wave DFT calculation with GGA-PBE was carried out for a geometry-optimized AcTb7Pr3 structure.

Lattice parameters (Å, degrees): 7.1858 7.1858 8.8666 90.00 90.00 120.00
Closest atoms and distances in Å follow each position.
Space group P3m1 (No. 156)
Inequivalent atoms, fractional coordinates:
Ac1 0.0000 0.0000 0.0000  9 Tb 3.56-3.59, 3 Pr 3.70
Tb1 0.0019 0.5009 0.9984  7 Tb 3.51-3.61, 2 Ac 3.59, 2 Pr 3.67
Tb2 0.3333 0.6667 0.3191  9 Tb 3.51-3.59, 3 Pr 3.63
Tb3 0.3345 0.1672 0.3261  1 Ac 3.56, 8 Tb 3.57-3.61, 2 Pr 3.59
Pr1 0.1678 0.3357 0.6561  4 Pr 3.57-3.62, 5 Tb 3.59-3.67, 1 Ac 3.70

- excess energy over the best structure of this formula in the dataset (eV/atom) = 0.000
- electronic total energy (eV/atom) = -4.433

---

A plane-wave DFT calculation with GGA-PBE was carried out for a geometry-optimized Ac3Tb4Pr4 structure.

Lattice parameters (Å, degrees): 3.6904 5.8734 18.9939 81.15 84.48 89.99
Closest atoms and distances in Å follow each position.
Space group P-1 (No. 2)
Inequivalent atoms, fractional coordinates:
Ac1 0.0000 0.0000 0.0000  2 Ac 3.69, 8 Pr 3.87-3.89, 4 Tb 3.91
Ac2 0.1403 0.6376 0.7228  2 Ac 3.69, 6 Pr 3.83-3.91, 6 Tb 3.87-4.06
Tb1 0.2649 0.2649 0.4707  4 Pr 3.54-3.58, 6 Tb 3.63-3.69
Tb2 0.4088 0.9094 0.1844  3 Pr 3.37-3.40, 2 Tb 3.69
Pr1 0.3171 0.8180 0.3648  5 Tb 3.37-3.58, 2 Pr 3.69
Pr2 0.4500 0.4548 0.0927  2 Tb 3.40, 3 Pr 3.46-3.69

- electronic total energy (eV/atom) = -4.519

---

A plane-wave DFT calculation with GGA-PBE was carried out for a geometry-optimized Ac3TbPr2 structure.

Lattice parameters (Å, degrees): 9.1073 3.9193 13.4964 90.00 90.21 90.00
Closest atoms and distances in Å follow each position.
Space group P2_1/m (No. 11)
Inequivalent atoms, fractional coordinates:
Ac1 0.0849 0.2500 0.3888  2 Tb 3.64, 4 Pr 3.75-4.07, 6 Ac 3.91-3.94
Ac2 0.3357 0.7500 0.9451  2 Tb 3.60, 3 Pr 3.80-3.82, 4 Ac 3.87-3.92
Ac3 0.3992 0.7500 0.2506  1 Tb 3.75, 7 Ac 3.92-4.16, 5 Pr 4.00-4.09
Tb1 0.1894 0.2500 0.7441  4 Pr 3.58-3.68, 5 Ac 3.60-3.75, 2 Tb 3.92
Pr1 0.0762 0.2500 0.1109  2 Tb 3.68, 6 Ac 3.75-4.00, 4 Pr 3.83-3.92
Pr2 0.3526 0.7500 0.5519  2 Tb 3.58, 4 Pr 3.61-3.92, 4 Ac 3.82-4.00

- excess energy over the best structure of this formula in the dataset (eV/atom) = 0.000
- electronic total energy (eV/atom) = -4.364

---

A plane-wave DFT calculation with GGA-PBE was carried out for a geometry-optimized Ac3Tb7Pr2 structure.

Lattice parameters (Å, degrees): 5.9195 39.1553 3.7417 90.00 90.00 90.00
Closest atoms and distances in Å follow each position.
Space group Cmmm (No. 65)
Inequivalent atoms, fractional coordinates:
Ac1 0.0000 0.0000 0.0000  8 Tb 3.44-3.50, 2 Ac 3.74
Ac2 0.0000 0.3157 0.5000  2 Ac 3.74, 4 Pr 3.81, 6 Tb 3.84-3.93
Tb1 0.0000 0.0738 0.5000  2 Pr 3.39, 2 Ac 3.44, 6 Tb 3.54-3.74
Tb2 0.0000 0.2300 0.0000  1 Pr 3.29, 2 Tb 3.35
Tb3 0.0000 0.4138 0.0000  8 Tb 3.54-3.86, 2 Pr 3.77
Tb4 0.0000 0.5000 0.5000  4 Ac 3.50, 6 Tb 3.74-3.86
Pr1 0.0000 0.1459 0.0000  3 Tb 3.29-3.39

- electronic total energy (eV/atom) = -4.391

---

A plane-wave DFT calculation with GGA-PBE was carried out for a geometry-optimized AcTb3Pr5 structure.

Lattice parameters (Å, degrees): 7.2017 17.5175 10.1645 90.00 90.00 90.00
Closest atoms and distances in Å follow each position.
Space group Imma (No. 74)
Inequivalent atoms, fractional coordinates:
Ac1 0.0000 0.2500 0.1033  5 Pr 3.43-3.63, 4 Tb 3.80
Tb1 0.2500 0.0793 0.2500  2 Tb 3.60, 10 Pr 3.69-3.99, 2 Ac 3.80
Tb2 0.2500 0.2500 0.7500  2 Tb 3.60, 10 Pr 3.62-3.89, 2 Ac 4.02
Pr1 0.0000 0.0818 0.9029  4 Pr 3.37-3.61, 1 Ac 3.58, 2 Tb 3.69
Pr2 0.0000 0.0825 0.5718  3 Pr 3.22-3.37
Pr3 0.0000 0.2500 0.4411  2 Pr 3.22, 1 Ac 3.43

- excess energy over the best structure of this formula in the dataset (eV/atom) = 0.000
- electronic total energy (eV/atom) = -4.586

---

Respective total magnetic moment values: 0.73, 0.00, 0.00, 0.00, 0.00, 0.00, 0.00, 0.00 μB/f.u..
Respective formation energy values: 3.7, 2.0, 3.6, 2.1, 0.3, 0.3, 1.6, 0.6 eV/f.u..